This record from the Open Quantum Materials Database describes crystalline LuCuNiGe at its relaxed geometry. The functional is PBE-GGA.

Geometry as CIF:
```
data_LuCuNiGe
_chemical_formula_sum 'Lu4 Cu4 Ni4 Ge4'
_cell_length_a 6.3402
_cell_length_b 6.3402
_cell_length_c 6.3402
_cell_angle_alpha 90.00
_cell_angle_beta 90.00
_cell_angle_gamma 90.00
_space_group_name_H-M_alt 'F -4 3 m'
_space_group_IT_number 216
_space_group_name_Hall 'F -4 2 3'
loop_
_atom_site_label
_atom_site_type_symbol
_atom_site_fract_x
_atom_site_fract_y
_atom_site_fract_z
_atom_site_occupancy
Lu1 Lu 0.0000 0.0000 0.0000 1
Cu1 Cu 0.0000 0.0000 0.5000 1
Ni1 Ni 0.2500 0.2500 0.7500 1
Ge1 Ge 0.2500 0.2500 0.2500 1
```

Summary:
E	-4.846	eV/atom
crystal system	cubic
magnetization	0.000	μB/atom

***

This record from the Open Quantum Materials Database describes crystalline LuCuNiGe at its relaxed geometry. The functional is PBE-GGA.

Geometry as CIF:
```
data_LuCuNiGe
_chemical_formula_sum 'Lu4 Cu4 Ni4 Ge4'
_cell_length_a 6.2604
_cell_length_b 6.2604
_cell_length_c 6.2604
_cell_angle_alpha 90.00
_cell_angle_beta 90.00
_cell_angle_gamma 90.00
_space_group_name_H-M_alt 'F -4 3 m'
_space_group_IT_number 216
_space_group_name_Hall 'F -4 2 3'
loop_
_atom_site_label
_atom_site_type_symbol
_atom_site_fract_x
_atom_site_fract_y
_atom_site_fract_z
_atom_site_occupancy
Lu1 Lu 0.0000 0.0000 0.0000 1
Cu1 Cu 0.2500 0.2500 0.2500 1
Ni1 Ni 0.2500 0.2500 0.7500 1
Ge1 Ge 0.0000 0.0000 0.5000 1
```

Summary:
E	-5.009	eV/atom
crystal system	cubic
magnetization	0.000	μB/atom

***

This record from the Open Quantum Materials Database describes crystalline LuCuGeOs at its relaxed geometry. The functional is PBE-GGA.

Geometry as CIF:
```
data_LuCuGeOs
_chemical_formula_sum 'Lu4 Cu4 Ge4 Os4'
_cell_length_a 6.4644
_cell_length_b 6.4644
_cell_length_c 6.4644
_cell_angle_alpha 90.00
_cell_angle_beta 90.00
_cell_angle_gamma 90.00
_space_group_name_H-M_alt 'F -4 3 m'
_space_group_IT_number 216
_space_group_name_Hall 'F -4 2 3'
loop_
_atom_site_label
_atom_site_type_symbol
_atom_site_fract_x
_atom_site_fract_y
_atom_site_fract_z
_atom_site_occupancy
Lu1 Lu 0.0000 0.0000 0.0000 1
Cu1 Cu 0.0000 0.0000 0.5000 1
Ge1 Ge 0.2500 0.2500 0.2500 1
Os1 Os 0.2500 0.2500 0.7500 1
```

Summary:
E	-5.793	eV/atom
crystal system	cubic
magnetization	0.002	μB/atom

***

This record from the Open Quantum Materials Database describes crystalline LuCuGeOs at its relaxed geometry. The functional is PBE-GGA.

Geometry as CIF:
```
data_LuCuGeOs
_chemical_formula_sum 'Lu4 Cu4 Ge4 Os4'
_cell_length_a 6.3737
_cell_length_b 6.3737
_cell_length_c 6.3737
_cell_angle_alpha 90.00
_cell_angle_beta 90.00
_cell_angle_gamma 90.00
_space_group_name_H-M_alt 'F -4 3 m'
_space_group_IT_number 216
_space_group_name_Hall 'F -4 2 3'
loop_
_atom_site_label
_atom_site_type_symbol
_atom_site_fract_x
_atom_site_fract_y
_atom_site_fract_z
_atom_site_occupancy
Lu1 Lu 0.0000 0.0000 0.0000 1
Cu1 Cu 0.2500 0.2500 0.7500 1
Ge1 Ge 0.0000 0.0000 0.5000 1
Os1 Os 0.2500 0.2500 0.2500 1
```

Summary:
E	-6.073	eV/atom
crystal system	cubic
magnetization	0.001	μB/atom

***

This record from the Open Quantum Materials Database describes crystalline LuCuGePd at its relaxed geometry. The functional is PBE-GGA.

Geometry as CIF:
```
data_LuCuGePd
_chemical_formula_sum 'Lu4 Cu4 Ge4 Pd4'
_cell_length_a 6.5178
_cell_length_b 6.5178
_cell_length_c 6.5178
_cell_angle_alpha 90.00
_cell_angle_beta 90.00
_cell_angle_gamma 90.00
_space_group_name_H-M_alt 'F -4 3 m'
_space_group_IT_number 216
_space_group_name_Hall 'F -4 2 3'
loop_
_atom_site_label
_atom_site_type_symbol
_atom_site_fract_x
_atom_site_fract_y
_atom_site_fract_z
_atom_site_occupancy
Lu1 Lu 0.0000 0.0000 0.0000 1
Cu1 Cu 0.0000 0.0000 0.5000 1
Ge1 Ge 0.2500 0.2500 0.7500 1
Pd1 Pd 0.2500 0.2500 0.2500 1
```

Summary:
E	-4.967	eV/atom
crystal system	cubic
magnetization	0.000	μB/atom

***

This record from the Open Quantum Materials Database describes crystalline LuCuGePd at its relaxed geometry. The functional is PBE-GGA.

Geometry as CIF:
```
data_LuCuGePd
_chemical_formula_sum 'Lu4 Cu4 Ge4 Pd4'
_cell_length_a 6.4605
_cell_length_b 6.4605
_cell_length_c 6.4605
_cell_angle_alpha 90.00
_cell_angle_beta 90.00
_cell_angle_gamma 90.00
_space_group_name_H-M_alt 'F -4 3 m'
_space_group_IT_number 216
_space_group_name_Hall 'F -4 2 3'
loop_
_atom_site_label
_atom_site_type_symbol
_atom_site_fract_x
_atom_site_fract_y
_atom_site_fract_z
_atom_site_occupancy
Lu1 Lu 0.0000 0.0000 0.0000 1
Cu1 Cu 0.2500 0.2500 0.7500 1
Ge1 Ge 0.0000 0.0000 0.5000 1
Pd1 Pd 0.2500 0.2500 0.2500 1
```

Summary:
E	-5.059	eV/atom
crystal system	cubic
magnetization	0.000	μB/atom

***

This record from the Open Quantum Materials Database describes crystalline LuCuGePd at its relaxed geometry. The functional is PBE-GGA.

Geometry as CIF:
```
data_LuCuGePd
_chemical_formula_sum 'Lu4 Cu4 Ge4 Pd4'
_cell_length_a 6.4577
_cell_length_b 6.4577
_cell_length_c 6.4577
_cell_angle_alpha 90.00
_cell_angle_beta 90.00
_cell_angle_gamma 90.00
_space_group_name_H-M_alt 'F -4 3 m'
_space_group_IT_number 216
_space_group_name_Hall 'F -4 2 3'
loop_
_atom_site_label
_atom_site_type_symbol
_atom_site_fract_x
_atom_site_fract_y
_atom_site_fract_z
_atom_site_occupancy
Lu1 Lu 0.0000 0.0000 0.0000 1
Cu1 Cu 0.2500 0.2500 0.7500 1
Ge1 Ge 0.2500 0.2500 0.2500 1
Pd1 Pd 0.0000 0.0000 0.5000 1
```

Summary:
E	-5.026	eV/atom
crystal system	cubic
magnetization	0.000	μB/atom

***

This record from the Open Quantum Materials Database describes crystalline LuCuGeS3 at its relaxed geometry. The functional is PBE-GGA.

Geometry as CIF:
```
data_LuCuGeS3
_chemical_formula_sum 'Lu4 Cu4 Ge4 S12'
_cell_length_a 3.7396
_cell_length_b 12.3145
_cell_length_c 10.0253
_cell_angle_alpha 90.00
_cell_angle_beta 90.00
_cell_angle_gamma 90.00
_space_group_name_H-M_alt 'C m c m'
_space_group_IT_number 63
_space_group_name_Hall '-C 2c 2'
loop_
_atom_site_label
_atom_site_type_symbol
_atom_site_fract_x
_atom_site_fract_y
_atom_site_fract_z
_atom_site_occupancy
Lu1 Lu 0.0000 0.0000 0.0000 1
Cu1 Cu 0.0000 0.4722 0.2500 1
Ge1 Ge 0.0000 0.2353 0.7500 1
S1 S 0.0000 0.0897 0.2500 1
S2 S 0.0000 0.3558 0.0711 1
```

Summary:
E	-5.115	eV/atom
crystal system	orthorhombic
magnetization	0.000	μB/atom

***

Number 1: calculated density 9.64 g cm⁻³. Number 2: calculated density 10.01 g cm⁻³. Number 3: calculated density 12.33 g cm⁻³. Number 4: calculated density 12.86 g cm⁻³. Number 5: calculated density 10.02 g cm⁻³. Number 6: calculated density 10.29 g cm⁻³. Number 7: calculated density 10.30 g cm⁻³. Number 8: calculated density 5.86 g cm⁻³.